First-principles (PBE) data for an optimized crystal structure of Pr2ErCd3, as listed in Alexandria via LeMat-Bulk.

Summary:
Calculated formation energy (eV/atom): -0.31
Excess energy over the best structure of this formula in the dataset (meV/atom): 2.1

Geometry as POSCAR:
```
Pr2ErCd3
1.0
5.4084 0.0000 0.0000
-2.7042 4.6838 0.0000
0.0000 0.0000 13.3003
Pr Er Cd
4 2 6
Direct
0.3333 0.6667 0.1715
0.0000 0.0000 0.5000
0.6667 0.3333 0.8285
0.0000 0.0000 0.0000
0.3333 0.6667 0.6667
0.6667 0.3333 0.3333
0.3333 0.6667 0.4190
0.6667 0.3333 0.5810
0.0000 0.0000 0.2550
0.0000 0.0000 0.7450
0.6667 0.3333 0.0873
0.3333 0.6667 0.9127
```



First-principles (PBE) data for an optimized crystal structure of CdWAu2, as listed in Alexandria via LeMat-Bulk.

Summary:
Calculated formation energy (eV/atom): 0.53
Excess energy over the best structure of this formula in the dataset (meV/atom): 354.5

Geometry as POSCAR:
```
CdWAu2
1.0
1.0850 2.5561 3.7673
-2.6047 -0.3210 3.8750
1.7324 -2.0788 3.8185
Au W Cd
2 1 1
Direct
0.7500 0.7500 0.7500
0.2500 0.2500 0.2500
0.5000 0.5000 0.5000
0.0000 0.0000 0.0000
```



First-principles (PBE) data for an optimized crystal structure of NaAsW2, as listed in Alexandria via LeMat-Bulk.

Summary:
Calculated formation energy (eV/atom): 1.29
Excess energy over the best structure of this formula in the dataset (meV/atom): 316.0

Geometry as POSCAR:
```
NaAsW2
1.0
0.0000 3.1728 3.1728
3.1728 0.0000 3.1728
3.1728 3.1728 0.0000
W Na As
2 1 1
Direct
0.7500 0.7500 0.7500
0.2500 0.2500 0.2500
0.0000 0.0000 0.0000
0.5000 0.5000 0.5000
```



First-principles (PBE) data for an optimized crystal structure of TbPrEuIn, as listed in Alexandria via LeMat-Bulk.

Summary:
Calculated formation energy (eV/atom): -0.15

Geometry as POSCAR:
```
TbPrEuIn
1.0
5.5988 0.0000 0.0000
2.7994 4.8487 0.0000
2.7994 1.6162 4.5714
Tb In Eu Pr
1 1 1 1
Direct
0.5000 0.5000 0.5000
0.2500 0.2500 0.2500
0.7500 0.7500 0.7500
0.0000 0.0000 0.0000
```



First-principles (PBE) data for an optimized crystal structure of NiPt2Rh, as listed in Alexandria via LeMat-Bulk.

Summary:
Calculated formation energy (eV/atom): -0.03

Geometry as POSCAR:
```
NiPt2Rh
1.0
-1.7427 -0.1585 -2.1112
-1.7082 -1.5102 1.5234
-3.4545 6.3062 2.3781
Rh Pt Ni
1 2 1
Direct
0.0000 0.0000 0.5192
0.5000 0.5000 0.2562
0.0000 0.0000 0.9809
0.5000 0.5000 0.7437
```



First-principles (PBE) data for an optimized crystal structure of BaCaN2O, as listed in Alexandria via LeMat-Bulk.

Summary:
ΔE_f (raw) (kcal/mol of atoms): 13.68

Geometry as POSCAR:
```
BaCaN2O
1.0
-2.7933 -2.7839 -2.4231
-2.2531 -1.1207 3.8848
-2.9493 3.5554 -0.6849
Ca Ba N O
1 1 2 1
Direct
0.5000 0.5000 0.5000
0.0000 0.0000 0.0000
0.5000 0.0000 0.0000
0.0000 0.5000 0.0000
0.0000 0.0000 0.5000
```



First-principles (PBE) data for an optimized crystal structure of Ga6Pd8Pt, as listed in Alexandria via LeMat-Bulk.

Summary:
Calculated formation energy (eV/atom): -0.53

Geometry as POSCAR:
```
Ga6Pd8Pt
1.0
-3.2829 -2.3221 6.1247
3.5796 -4.4083 4.6298
1.9376 1.9573 6.1630
Pt Ga Pd
1 6 8
Direct
0.0000 0.0000 0.0000
0.7312 0.3954 0.8107
0.3954 0.0627 0.8107
0.6046 0.9373 0.1893
0.9373 0.2688 0.1893
0.0627 0.7312 0.8107
0.2688 0.6046 0.1893
0.4437 0.7743 0.6714
0.5563 0.2257 0.3286
0.7743 0.1105 0.6714
0.3326 0.3326 0.0021
0.1105 0.4437 0.6714
0.8895 0.5563 0.3286
0.2257 0.8895 0.3286
0.6674 0.6674 0.9979
```



First-principles (PBE) data for an optimized crystal structure of InPd4, as listed in Alexandria via LeMat-Bulk.

Summary:
Calculated formation energy (eV/atom): 0.85
Excess energy over the best structure of this formula in the dataset (meV/atom): 1178.4

Geometry as POSCAR:
```
InPd4
1.0
4.8968 0.0000 0.0000
0.0000 4.8968 0.0000
0.0000 0.0000 4.8968
Pd In
4 1
Direct
0.0000 0.5000 0.5000
0.5000 0.0000 0.5000
0.5000 0.5000 0.0000
0.0000 0.0000 0.0000
0.5000 0.5000 0.5000
```



First-principles (PBE) data for an optimized crystal structure of PuNpMn2, as listed in Alexandria via LeMat-Bulk.

Summary:
Calculated formation energy (eV/atom): 0.20

Geometry as POSCAR:
```
PuNpMn2
1.0
-0.4176 3.0670 -0.0522
-1.8875 -0.2985 -2.4355
-5.9110 -0.7253 4.6697
Np Pu Mn
1 1 2
Direct
0.5000 0.5000 0.5000
0.5000 0.5000 0.0000
0.0000 0.0000 0.2540
0.0000 0.0000 0.7460
```



First-principles (PBE) data for an optimized crystal structure of LiCaBi2Sb, as listed in Alexandria via LeMat-Bulk.

Summary:
ΔE_f (raw) (kcal/mol of atoms): 7.23

Geometry as POSCAR:
```
LiCaBi2Sb
1.0
-4.7344 2.5789 -2.3048
1.2625 -2.2849 -5.1499
-3.2123 -4.7269 1.3097
Sb Li Bi Ca
1 1 2 1
Direct
0.0000 0.5000 0.0000
0.5000 0.5000 0.5000
0.5000 0.0000 0.0000
0.0000 0.0000 0.5000
0.0000 0.0000 0.0000
```



First-principles (PBE) data for an optimized crystal structure of BeCoPRu, as listed in Alexandria via LeMat-Bulk.

Summary:
Calculated formation energy (eV/atom): -0.42

Geometry as POSCAR:
```
BeCoPRu
1.0
3.9101 0.0000 0.0000
1.9550 3.3862 0.0000
1.9550 1.1287 3.1926
Ru P Co Be
1 1 1 1
Direct
0.7500 0.7500 0.7500
0.5000 0.5000 0.5000
0.2500 0.2500 0.2500
0.0000 0.0000 0.0000
```



First-principles (PBE) data for an optimized crystal structure of TbSm3Pd2, as listed in Alexandria via LeMat-Bulk.

Summary:
Calculated formation energy (eV/atom): -0.56

Geometry as POSCAR:
```
TbSm3Pd2
1.0
-2.9827 -3.7921 -1.1487
5.6599 -4.4749 0.0760
-1.3576 -1.5692 8.7052
Tb Sm Pd
2 6 4
Direct
0.5000 0.0125 0.4198
0.5000 0.5125 0.5802
0.0000 0.4870 0.9173
0.5000 0.6446 0.1656
0.0000 0.3558 0.3353
0.0000 0.8558 0.6647
0.5000 0.1446 0.8344
0.0000 0.9870 0.0827
0.0000 0.7612 0.3454
0.5000 0.2388 0.1606
0.5000 0.7388 0.8394
0.0000 0.2612 0.6546
```



no.,magnetic moment (Bohr magnetons per cell)
1,2.03
2,1.43
3,0.00
4,7.47
5,1.60
6,1.69
7,0.00
8,0.00
9,4.24
10,0.00
11,0.00
12,0.00